1.
KTl4HgBi2: optimized geometry, PBE. Values from VASP.

Output
V: 257.9 Å³/cell
energy relative to the elements: -0.1317 eV/atom
density of states at the Fermi level: 1.59 states/eV/f.u.
space-group type: R-3m (166)
density: 9499 kg/m3

```
&SYSTEM
  ibrav = 0, nat = 8, ntyp = 4
/
ATOMIC_SPECIES
K 39.10 K.upf
Tl 204.38 Tl.upf
Hg 200.59 Hg.upf
Bi 208.98 Bi.upf
CELL_PARAMETERS angstrom
2.818 1.627 9.374
-2.818 1.627 9.374
0.000 -3.254 9.374
ATOMIC_POSITIONS angstrom
K 0.000 0.000 0.000
Tl 0.000 0.000 3.687
Tl 0.000 0.000 10.713
Tl 0.000 0.000 17.409
Tl 0.000 0.000 24.435
Hg 0.000 0.000 14.061
Bi 0.000 0.000 7.109
Bi 0.000 0.000 21.013
```

=====

2.
PrDyRhI: optimized geometry, PBE. Values from VASP.

Output
V: 119.5 Å³/cell
calculated total energy: -0.405 Ry per atom
density of states at the Fermi level: 0.25 states/eV/f.u.
space-group type: R3m (160)
density: 7412 kg/m3

```
&SYSTEM
  ibrav = 0, nat = 4, ntyp = 4
/
ATOMIC_SPECIES
Pr 140.91 Pr.upf
Dy 162.50 Dy.upf
Rh 102.91 Rh.upf
I 126.90 I.upf
CELL_PARAMETERS angstrom
2.063 1.191 8.104
-2.063 1.191 8.104
0.000 -2.382 8.104
ATOMIC_POSITIONS angstrom
Pr 0.000 0.000 0.000
Dy 0.000 0.000 5.128
Rh 0.000 0.000 14.633
I 0.000 0.000 18.848
```

=====

3.
Pr2I2N: optimized geometry, PBE. Values from VASP.

Output
V: 161.2 Å³/cell
ΔE to the lowest computed polymorph: 0 meV/atom
density of states at the Fermi level: 1.52 states/eV/f.u.
space-group type: C2/m (12)
density: 5661 kg/m3

```
&SYSTEM
  ibrav = 0, nat = 5, ntyp = 3
/
ATOMIC_SPECIES
Pr 140.91 Pr.upf
I 126.90 I.upf
N 14.01 N.upf
CELL_PARAMETERS angstrom
3.424 -1.977 0.000
3.424 1.977 0.000
-2.550 0.000 11.910
ATOMIC_POSITIONS angstrom
Pr 1.142 0.000 1.361
Pr 3.155 0.000 10.549
I -1.409 0.000 8.296
I 5.705 0.000 3.614
N 3.424 0.000 0.000
```

=====

4.
HoZrRuAu: optimized geometry, PBE. Values from VASP.

Output
V: 80.2 Å³/cell
energy relative to the elements: -0.4921 eV/atom
density of states at the Fermi level: 4.58 states/eV/f.u.
space-group type: F-43m (216)
density: 11475 kg/m3

```
&SYSTEM
  ibrav = 0, nat = 4, ntyp = 4
/
ATOMIC_SPECIES
Ho 164.93 Ho.upf
Zr 91.22 Zr.upf
Ru 101.07 Ru.upf
Au 196.97 Au.upf
CELL_PARAMETERS angstrom
0.000 3.423 3.423
3.423 0.000 3.423
3.423 3.423 0.000
ATOMIC_POSITIONS angstrom
Ho 0.000 0.000 0.000
Zr 3.423 3.423 3.423
Ru 5.134 5.134 5.134
Au 1.711 1.711 1.711
```

=====

5.
Er2Tm3Tl: optimized geometry, PBE. Values from VASP.

Output
V: 172.3 Å³/cell
energy relative to the elements: -0.1082 eV/atom
density of states at the Fermi level: 5.46 states/eV/f.u.
space-group type: Cmmm (65)
density: 10077 kg/m3

```
&SYSTEM
  ibrav = 0, nat = 6, ntyp = 3
/
ATOMIC_SPECIES
Er 167.26 Er.upf
Tm 168.93 Tm.upf
Tl 204.38 Tl.upf
CELL_PARAMETERS angstrom
2.405 -7.440 0.000
2.405 7.440 0.000
0.000 0.000 4.815
ATOMIC_POSITIONS angstrom
Er 2.405 5.016 0.000
Er 2.405 -5.016 0.000
Tm 0.000 0.000 2.407
Tm 2.405 2.524 2.407
Tm 2.405 -2.524 2.407
Tl 2.405 0.000 0.000
```

=====

6.
CaErCu2Si2: optimized geometry, PBE. Values from VASP.

Output
V: 115.4 Å³/cell
calculated total energy: -0.353 Ry per atom
density of states at the Fermi level: 3.24 states/eV/f.u.
space-group type: P-3m1 (164)
density: 5619 kg/m3

```
&SYSTEM
  ibrav = 0, nat = 6, ntyp = 4
/
ATOMIC_SPECIES
Ca 40.08 Ca.upf
Er 167.26 Er.upf
Cu 63.55 Cu.upf
Si 28.09 Si.upf
CELL_PARAMETERS angstrom
4.096 0.000 0.000
-2.048 3.547 0.000
0.000 0.000 7.945
ATOMIC_POSITIONS angstrom
Ca 0.000 0.000 0.000
Er 0.000 0.000 3.972
Cu 0.000 2.365 5.858
Cu 2.048 1.182 2.086
Si 0.000 2.365 2.103
Si 2.048 1.182 5.841
```

=====

7.
ZrTlH: optimized geometry, PBE. Values from VASP.

Output
V: 225.5 Å³/cell
ΔE to the lowest computed polymorph: 360 meV/atom
density of states at the Fermi level: 2.26 states/eV/f.u.
space-group type: Pnma (62)
density: 8738 kg/m3

```
&SYSTEM
  ibrav = 0, nat = 12, ntyp = 3
/
ATOMIC_SPECIES
Zr 91.22 Zr.upf
Tl 204.38 Tl.upf
H 1.01 H.upf
CELL_PARAMETERS angstrom
6.044 0.000 0.000
0.000 3.408 0.000
0.000 0.000 10.946
ATOMIC_POSITIONS angstrom
Zr 0.845 0.852 1.302
Zr 2.177 2.556 6.775
Zr 3.867 0.852 4.171
Zr 5.199 2.556 9.644
Tl 0.863 0.852 4.361
Tl 2.159 2.556 9.834
Tl 3.885 0.852 1.112
Tl 5.181 2.556 6.585
H 0.502 2.556 2.143
H 2.520 0.852 7.615
H 3.524 2.556 3.330
H 5.542 0.852 8.803
```

=====

8.
PrGaF: optimized geometry, PBE. Values from VASP.

Output
V: 67.8 Å³/cell
ΔE to the lowest computed polymorph: 574 meV/atom
density of states at the Fermi level: 3.01 states/eV/f.u.
space-group type: I4mm (107)
density: 5623 kg/m3

```
&SYSTEM
  ibrav = 0, nat = 3, ntyp = 3
/
ATOMIC_SPECIES
Pr 140.91 Pr.upf
Ga 69.72 Ga.upf
F 19.00 F.upf
CELL_PARAMETERS angstrom
-1.725 1.725 5.697
1.725 -1.725 5.697
1.725 1.725 -5.697
ATOMIC_POSITIONS angstrom
Pr 0.000 0.000 0.000
Ga 0.000 0.000 3.281
F 0.000 0.000 6.245
```

=====

9.
LiMnZn: optimized geometry, PBE. Values from VASP.

Output
V: 41.9 Å³/cell
energy relative to the elements: 0.0971 eV/atom
ΔE to the lowest computed polymorph: 0 meV/atom
density of states at the Fermi level: 1.09 states/eV/f.u.
space-group type: P3m1 (156)
density: 5046 kg/m3

```
&SYSTEM
  ibrav = 0, nat = 3, ntyp = 3
/
ATOMIC_SPECIES
Li 6.94 Li.upf
Mn 54.94 Mn.upf
Zn 65.41 Zn.upf
CELL_PARAMETERS angstrom
4.333 0.000 0.000
-2.166 3.752 0.000
0.000 0.000 2.576
ATOMIC_POSITIONS angstrom
Li 0.000 0.000 0.000
Mn 0.000 2.501 0.812
Zn 2.166 1.251 1.908
```

=====

10.
MgTi2Ir2: optimized geometry, PBE. Values from VASP.

Output
V: 166.0 Å³/cell
energy relative to the elements: -0.6682 eV/atom
density of states at the Fermi level: 4.53 states/eV/f.u.
space-group type: P4/mbm (127)
density: 10094 kg/m3

```
&SYSTEM
  ibrav = 0, nat = 10, ntyp = 3
/
ATOMIC_SPECIES
Mg 24.30 Mg.upf
Ti 47.87 Ti.upf
Ir 192.22 Ir.upf
CELL_PARAMETERS angstrom
7.497 0.000 0.000
0.000 7.497 0.000
0.000 0.000 2.953
ATOMIC_POSITIONS angstrom
Mg 0.000 0.000 0.000
Mg 3.748 3.748 0.000
Ti 1.155 2.593 1.477
Ti 2.593 6.341 1.477
Ti 4.904 1.155 1.477
Ti 6.341 4.904 1.477
Ir 1.060 4.808 0.000
Ir 2.688 1.060 0.000
Ir 4.808 6.437 0.000
Ir 6.437 2.688 0.000
```

=====

11.
Tc2PHIr: optimized geometry, PBE. Values from VASP.

Output
V: 115.2 Å³/cell
calculated total energy: -0.426 Ry per atom
density of states at the Fermi level: 5.67 states/eV/f.u.
space-group type: P4/mmm (123)
density: 6059 kg/m3

```
&SYSTEM
  ibrav = 0, nat = 5, ntyp = 4
/
ATOMIC_SPECIES
Tc 98.00 Tc.upf
P 30.97 P.upf
H 1.01 H.upf
Ir 192.22 Ir.upf
CELL_PARAMETERS angstrom
5.160 0.000 0.000
0.000 5.160 0.000
0.000 0.000 4.326
ATOMIC_POSITIONS angstrom
Tc 0.000 2.580 0.000
Tc 2.580 0.000 0.000
P 0.000 0.000 2.163
H 2.580 2.580 2.163
Ir 0.000 0.000 0.000
```

=====

12.
SrThTaN3: optimized geometry, PBE. Values from VASP.

Output
V: 226.0 Å³/cell
calculated total energy: -0.638 Ry per atom
density of states at the Fermi level: 1.94 states/eV/f.u.
space-group type: P2_1/m (11)
density: 7973 kg/m3

```
&SYSTEM
  ibrav = 0, nat = 12, ntyp = 4
/
ATOMIC_SPECIES
Sr 87.62 Sr.upf
Th 232.04 Th.upf
Ta 180.95 Ta.upf
N 14.01 N.upf
CELL_PARAMETERS angstrom
7.804 0.000 0.000
0.000 3.648 0.000
-0.423 0.000 7.939
ATOMIC_POSITIONS angstrom
Sr 1.211 0.912 1.258
Sr 6.169 2.736 6.681
Th 1.150 0.912 4.776
Th 6.231 2.736 3.162
Ta 2.876 2.736 7.004
Ta 4.505 0.912 0.934
N 0.720 2.736 3.241
N 0.963 2.736 6.731
N 3.629 2.736 1.234
N 3.752 0.912 6.705
N 6.418 0.912 1.207
N 6.661 0.912 4.698
```